Density functional theory data (GGA-PBE) for crystalline Cs5Ga4Sn2 at its relaxed geometry.

The structure in extended XYZ format:
```
11
Lattice="-5.069 3.805 3.506 -4.476 -3.698 5.023 3.167 2.414 9.441" Properties=species:S:1:pos:R:3 pbc="T T T"
Cs 0.592 1.686 10.265
Cs -6.969 0.835 7.705
Cs -0.654 -0.642 7.232
Cs -1.931 3.580 12.010
Cs -4.446 -1.059 5.960
Ga -4.295 -1.306 10.170
Ga -2.082 3.827 7.800
Ga -4.761 1.500 13.932
Ga -1.616 1.020 4.038
Sn -2.491 -0.437 11.836
Sn -3.887 2.957 6.134
```

Calculated values
DFT formation energy   0.07 eV per atom
Size of the total moment   0.0 μB/cell
SG   C2/m, No. 12
E   -2.142 eV per atom


Density functional theory data (GGA-PBE) for crystalline Cs2GaSn at its relaxed geometry.

The structure in extended XYZ format:
```
8
Lattice="6.795 0.000 0.000 0.000 7.030 -2.620 0.000 0.114 7.501" Properties=species:S:1:pos:R:3 pbc="T T T"
Cs 5.096 0.136 5.052
Cs 1.699 7.008 -0.171
Cs 1.699 2.388 6.591
Cs 5.096 4.756 -1.710
Ga 0.000 3.572 2.441
Ga 3.398 3.572 2.441
Sn 5.096 1.858 1.269
Sn 1.699 5.286 3.612
```

Calculated values
Offset from the most stable computed form   0.00 kcal/mol of atoms
DFT formation energy   -0.11 eV per atom
Size of the total moment   0.0 μB/cell
SG   Cmcm, No. 63
E   -2.297 eV per atom